# 1
VASP calculation (PBE) on a geometry-optimized Pb7W structure.

```
8
Lattice="0.000 4.863 4.863 4.863 0.000 4.863 4.863 4.863 0.000" Properties=species:S:1:pos:R:3 pbc="T T T"
Pb 0.000 0.000 0.000
Pb 2.432 2.432 0.000
Pb 2.432 0.000 2.432
Pb 4.863 2.432 2.432
Pb 0.000 2.432 2.432
Pb 2.432 4.863 2.432
Pb 2.432 2.432 4.863
W 4.863 4.863 4.863
```

Output
* calculated total energy: -4.29 eV per atom

***

# 2
VASP calculation (PBE) on a geometry-optimized NdHoNiGe structure.

```
4
Lattice="0.000 3.541 3.541 3.541 0.000 3.541 3.541 3.541 0.000" Properties=species:S:1:pos:R:3 pbc="T T T"
Nd 0.000 0.000 0.000
Ho 3.541 3.541 3.541
Ni 1.771 1.771 1.771
Ge 5.312 5.312 5.312
```

Output
* calculated total energy: -5.42 eV per atom

***

# 3
VASP calculation (PBE) on a geometry-optimized TlCd2SnHg2 structure.

```
12
Lattice="4.898 0.000 0.000 0.000 8.799 0.000 0.000 0.000 7.534" Properties=species:S:1:pos:R:3 pbc="T T T"
Tl 0.000 1.117 0.000
Tl 0.000 7.682 3.767
Cd 0.000 2.102 3.434
Cd 0.000 6.697 7.201
Cd 2.449 3.532 0.564
Cd 2.449 5.268 4.331
Sn 2.449 2.169 5.308
Sn 2.449 6.630 1.541
Hg 0.000 4.148 5.810
Hg 0.000 4.651 2.043
Hg 2.449 0.829 2.192
Hg 2.449 7.970 5.959
```

Output
* calculated total energy: -1.43 eV per atom

***

no.,calculated formation energy (eV per atom),density of states at the Fermi level (states/eV per atom),V (Å³ per atom)
1,0.5728,0.838,28.76
2,-0.4820,0.429,22.21
3,0.0361,0.414,27.06